No. 1
DFT (PBE) results for a geometry-optimized Cr2PdRh9 structure.

```
12
Lattice="3.820 0.000 0.000 0.000 3.820 0.000 0.000 0.000 11.477" Properties=species:S:1:pos:R:3 pbc="T T T"
Cr 0.000 0.000 1.933
Cr 0.000 0.000 9.544
Pd 0.000 0.000 5.738
Rh 0.000 1.910 0.000
Rh 0.000 1.910 3.739
Rh 0.000 1.910 7.738
Rh 1.910 0.000 0.000
Rh 1.910 0.000 3.739
Rh 1.910 0.000 7.738
Rh 1.910 1.910 1.879
Rh 1.910 1.910 5.738
Rh 1.910 1.910 9.598
```

magnetic moment: 1.97 μB/cell
space group: P4/mmm (123)
ΔH_f (0 K): -7.1 kJ per mole of atoms

***

No. 2
DFT (PBE) results for a geometry-optimized K2Cd3Pb6 structure.

```
11
Lattice="9.150 0.000 0.000 -4.575 7.924 0.000 0.000 0.000 5.239" Properties=species:S:1:pos:R:3 pbc="T T T"
K 0.000 5.283 0.000
K 4.575 2.641 0.000
Cd -2.750 4.764 2.620
Cd 1.825 3.161 2.620
Cd 5.501 0.000 2.620
Pb -1.248 2.161 2.620
Pb -3.636 6.298 0.000
Pb 0.939 1.627 0.000
Pb 2.496 0.000 2.620
Pb 3.327 5.763 2.620
Pb 7.272 0.000 0.000
```

magnetic moment: 0.00 μB/cell
space group: P-62m (189)
ΔH_f (0 K): -4.4 kJ per mole of atoms

***

No. 3
DFT (PBE) results for a geometry-optimized Y12Er7Hf structure.

```
20
Lattice="8.203 4.736 2.715 -8.203 4.736 2.715 0.000 -9.472 2.715" Properties=species:S:1:pos:R:3 pbc="T T T"
Y -2.328 -5.440 2.715
Y -5.876 0.704 2.715
Y 0.000 -2.816 2.103
Y -2.439 1.408 2.103
Y 2.328 -5.440 2.715
Y -3.548 4.736 2.715
Y 2.439 1.408 2.103
Y -2.439 -1.408 6.041
Y 5.876 0.704 2.715
Y 3.548 4.736 2.715
Y 2.439 -1.408 6.041
Y 0.000 2.816 6.041
Er 0.000 0.000 0.000
Er -2.791 -1.612 2.713
Er 2.791 -1.612 2.713
Er 0.000 3.223 2.713
Er 0.000 -3.223 5.431
Er -2.791 1.612 5.431
Er 2.791 1.612 5.431
Hf 0.000 0.000 4.072
```

magnetic moment: 0.00 μB/cell
space group: R-3m (166)
ΔH_f (0 K): 27.0 kJ per mole of atoms

***

No. 4
DFT (PBE) results for a geometry-optimized CsTl8Rh2 structure.

```
11
Lattice="4.697 -6.368 0.000 4.697 6.368 0.000 -1.037 0.000 5.401" Properties=species:S:1:pos:R:3 pbc="T T T"
Cs 0.000 0.000 0.000
Tl 1.417 1.677 3.109
Tl 4.697 2.770 0.000
Tl 1.417 -1.677 3.109
Tl 3.584 0.000 1.229
Tl 4.774 0.000 4.172
Tl 6.941 1.677 2.292
Tl 4.697 -2.770 0.000
Tl 6.941 -1.677 2.292
Rh 4.179 2.644 2.700
Rh 4.179 -2.644 2.700
```

magnetic moment: 0.00 μB/cell
space group: C2/m (12)
ΔH_f (0 K): 3.5 kJ per mole of atoms

***

No. 5
DFT (PBE) results for a geometry-optimized Co2GeAs structure.

```
16
Lattice="6.881 0.000 0.000 0.000 5.899 0.000 0.000 0.000 5.247" Properties=species:S:1:pos:R:3 pbc="T T T"
Co 0.797 1.190 2.601
Co 0.797 1.759 5.224
Co 2.516 4.127 0.004
Co 2.516 4.721 2.627
Co 4.366 1.177 2.620
Co 4.365 1.772 5.243
Co 6.084 4.139 0.023
Co 6.084 4.709 2.646
Ge 2.610 0.537 1.040
Ge 2.610 2.413 3.663
Ge 4.271 3.486 1.584
Ge 4.271 5.362 4.207
As 0.891 3.406 1.596
As 0.891 5.442 4.219
As 5.990 0.457 1.027
As 5.990 2.492 3.651
```

ΔE to the lowest computed polymorph: 0.000 eV per atom
magnetic moment: 0.00 μB/cell
space group: P2_1/c (14)
ΔH_f (0 K): -29.2 kJ per mole of atoms

***

No. 6
DFT (PBE) results for a geometry-optimized Th2Mg6Zn3 structure.

```
11
Lattice="8.446 0.000 0.000 -4.223 7.314 0.000 0.000 0.000 4.125" Properties=species:S:1:pos:R:3 pbc="T T T"
Th 0.000 4.876 0.000
Th 4.223 2.438 0.000
Mg -1.255 2.173 2.062
Mg -3.364 5.827 0.000
Mg 0.859 1.488 0.000
Mg 2.509 0.000 2.062
Mg 2.968 5.142 2.062
Mg 6.728 0.000 0.000
Zn -2.554 4.424 2.062
Zn 1.669 2.890 2.062
Zn 5.109 0.000 2.062
```

magnetic moment: 0.00 μB/cell
space group: P-62m (189)
ΔH_f (0 K): -3.7 kJ per mole of atoms

***

No. 7
DFT (PBE) results for a geometry-optimized Rb3Cd4Hg4 structure.

```
11
Lattice="-4.609 4.609 4.609 4.609 -4.609 4.609 4.609 4.609 -4.609" Properties=species:S:1:pos:R:3 pbc="T T T"
Rb 4.609 0.000 0.000
Rb 0.000 4.609 0.000
Rb 0.000 0.000 4.609
Cd 1.185 1.185 -1.185
Cd 1.185 -1.185 1.185
Cd -1.185 1.185 1.185
Cd 3.424 3.424 3.424
Hg 2.851 2.851 -2.851
Hg 2.851 -2.851 2.851
Hg 1.759 1.759 1.759
Hg -2.851 2.851 2.851
```

ΔE to the lowest computed polymorph: 0.000 eV per atom
magnetic moment: 0.00 μB/cell
space group: I-43m (217)
ΔH_f (0 K): -14.9 kJ per mole of atoms

***

No. 8
DFT (PBE) results for a geometry-optimized VIn2H2 structure.

```
10
Lattice="5.823 0.000 0.000 0.000 5.823 0.000 0.000 0.000 4.341" Properties=species:S:1:pos:R:3 pbc="T T T"
V 0.000 0.000 0.000
V 2.912 2.912 0.000
In 1.234 1.677 2.170
In 1.677 4.589 2.170
In 4.146 1.234 2.170
In 4.589 4.146 2.170
H 1.363 1.549 0.000
H 1.549 4.460 0.000
H 4.274 1.363 0.000
H 4.460 4.274 0.000
```

ΔE to the lowest computed polymorph: 0.000 eV per atom
magnetic moment: 4.90 μB/cell
space group: P4/mbm (127)

***

Question: The highest magnetic moment belongs to which entry?
Answer: VIn2H2

***

Please write out number 6 again, unchanged.
DFT (PBE) results for a geometry-optimized Th2Mg6Zn3 structure.

```
11
Lattice="8.446 0.000 0.000 -4.223 7.314 0.000 0.000 0.000 4.125" Properties=species:S:1:pos:R:3 pbc="T T T"
Th 0.000 4.876 0.000
Th 4.223 2.438 0.000
Mg -1.255 2.173 2.062
Mg -3.364 5.827 0.000
Mg 0.859 1.488 0.000
Mg 2.509 0.000 2.062
Mg 2.968 5.142 2.062
Mg 6.728 0.000 0.000
Zn -2.554 4.424 2.062
Zn 1.669 2.890 2.062
Zn 5.109 0.000 2.062
```

magnetic moment: 0.00 μB/cell
space group: P-62m (189)
ΔH_f (0 K): -3.7 kJ per mole of atoms

***

Repeat the eighth record exactly.
DFT (PBE) results for a geometry-optimized VIn2H2 structure.

```
10
Lattice="5.823 0.000 0.000 0.000 5.823 0.000 0.000 0.000 4.341" Properties=species:S:1:pos:R:3 pbc="T T T"
V 0.000 0.000 0.000
V 2.912 2.912 0.000
In 1.234 1.677 2.170
In 1.677 4.589 2.170
In 4.146 1.234 2.170
In 4.589 4.146 2.170
H 1.363 1.549 0.000
H 1.549 4.460 0.000
H 4.274 1.363 0.000
H 4.460 4.274 0.000
```

ΔE to the lowest computed polymorph: 0.000 eV per atom
magnetic moment: 4.90 μB/cell
space group: P4/mbm (127)

***

Question: Which formula does entry 5 have?
Answer: Co2GeAs